Entry 1:
DFT (GGA-PBE) results for a relaxed structure of Hf4IrN2.

```
Hf4IrN2
1.0
3.2959 0.0000 0.0000
-1.6480 5.5376 0.0000
0.0000 0.0000 11.6759
N Hf Ir
4 8 2
Direct
0.1334 0.2668 0.4414
0.8666 0.7332 0.5586
0.1334 0.2668 0.0586
0.8666 0.7332 0.9414
0.2320 0.4640 0.8918
0.7680 0.5360 0.1082
0.9231 0.8462 0.7500
0.5000 0.0000 0.0000
0.5000 0.0000 0.5000
0.0769 0.1538 0.2500
0.7680 0.5360 0.3918
0.2320 0.4640 0.6082
0.3918 0.7836 0.2500
0.6082 0.2164 0.7500
```

Raw formation energy ... -1346 meV per atom
Total energy ... -10.678 eV/atom
Volume ... 15.22 A^3/atom



Entry 2:
DFT (GGA-PBE) results for a relaxed structure of Hf3IrN.

```
Hf3IrN
1.0
4.7581 0.0000 0.0000
0.0000 11.3937 0.0000
0.0000 0.0000 6.6338
N Ir Hf
4 4 12
Direct
0.9999 0.2500 0.9067
0.0001 0.7500 0.0933
0.5001 0.7500 0.4067
0.4999 0.2500 0.5933
0.0000 0.5000 0.5000
0.0000 0.0000 0.5000
0.5000 0.0000 0.0000
0.5000 0.5000 0.0000
0.5001 0.3887 0.3788
0.9999 0.6113 0.8788
0.9999 0.8887 0.8788
0.0001 0.1113 0.1212
0.0001 0.3887 0.1212
0.4999 0.8887 0.6212
0.5000 0.7500 0.0905
0.0000 0.7500 0.4095
0.0000 0.2500 0.5905
0.4999 0.6113 0.6212
0.5001 0.1113 0.3788
0.5000 0.2500 0.9095
```

Raw formation energy ... -848 meV per atom
Total energy ... -10.257 eV/atom
Volume ... 17.98 A^3/atom



Entry 3:
DFT (GGA-PBE) results for a relaxed structure of Hf3IrN.

```
Hf3IrN
1.0
14.0445 0.0000 2.4392
4.7606 2.2588 -1.8112
-4.7606 2.2588 1.8112
Hf Ir N
6 2 2
Direct
0.3661 0.7972 0.2028
0.8041 0.2877 0.7123
0.6339 0.2028 0.7972
0.0633 0.5790 0.4210
0.1959 0.7123 0.2877
0.9367 0.4210 0.5790
0.3824 0.0431 0.9569
0.6176 0.9569 0.0431
0.9213 0.9474 0.0526
0.0787 0.0526 0.9474
```

Raw formation energy ... -1087 meV per atom
Total energy ... -10.497 eV/atom
Volume ... 16.74 A^3/atom



Entry 4:
DFT (GGA-PBE) results for a relaxed structure of Hf3IrN.

```
Hf3IrN
1.0
-5.1387 -0.4540 1.8677
-0.5579 -5.3948 -2.8462
-0.0070 -2.4704 4.6839
Hf Ir N
6 2 2
Direct
0.1811 0.7500 0.3352
0.2771 0.0076 0.7937
0.8189 0.2500 0.6648
0.7229 0.9924 0.2063
0.2771 0.4924 0.7937
0.7229 0.5076 0.2063
0.2556 0.2500 0.2641
0.7444 0.7500 0.7359
0.4908 0.7500 0.4973
0.5092 0.2500 0.5027
```

Raw formation energy ... -843 meV per atom
Total energy ... -10.253 eV/atom
Volume ... 16.73 A^3/atom



Entry 5:
DFT (GGA-PBE) results for a relaxed structure of Hf3IrN.

```
Hf3IrN
1.0
6.0203 0.1631 -0.0517
-0.9525 3.0901 -0.0002
-2.2258 -2.3765 8.9065
Hf Ir N
6 2 2
Direct
0.3401 0.6739 0.9554
0.4757 0.9976 0.4672
0.6799 0.4906 0.2490
0.8156 0.8143 0.7608
0.0349 0.3091 0.5310
0.1208 0.1791 0.1853
0.7857 0.4124 0.9869
0.3700 0.0758 0.7293
0.7508 0.6516 0.5000
0.4048 0.8367 0.2162
```

Raw formation energy ... -1101 meV per atom
Total energy ... -10.510 eV/atom
Volume ... 16.66 A^3/atom



Entry 6:
DFT (GGA-PBE) results for a relaxed structure of Hf3IrN.

```
Hf3IrN
1.0
6.1557 -0.0002 -0.0001
3.0781 5.3309 -0.0002
0.0004 0.0005 5.0689
Hf Ir N
6 2 2
Direct
0.2976 0.4697 0.0714
0.6336 0.2285 0.5714
0.0564 0.3748 0.5714
0.1513 0.0388 0.0715
0.7284 0.8925 0.0714
0.4873 0.7976 0.5715
0.7258 0.4670 0.0714
0.0591 0.8003 0.5714
0.3924 0.1336 0.3214
0.3924 0.1336 0.8214
```

Raw formation energy ... -1107 meV per atom
Total energy ... -10.516 eV/atom
Volume ... 16.63 A^3/atom